Computed, not measured: a relaxed YReC2Se crystal at the GGA-PBE level of DFT.

```
YReC2Se
1.0
4.0976 0.0000 0.0000
0.0000 5.2403 0.0000
0.0000 0.0000 4.0976
Y C Se Re
1 2 1 1
Direct
0.0000 0.5000 0.0000
0.0000 0.0000 0.5000
0.5000 0.0000 0.0000
0.0000 0.0000 0.0000
0.5000 0.5000 0.5000
```

Calculated values
formation energy without anion corrections = 1239 kJ/mol of formula units